No. 1
Na2TiF GGA-PBE relaxed; energy relative to the lowest polymorph listed for this composition = 0 meV/atom; space-group type = I-42d (122)
1.0
6.743 0.000 0.000
0.000 6.743 0.000
3.371 3.371 4.433
Na F Ti
4 2 2
Cartesian
4.040 1.686 1.108
2.703 5.057 1.108
5.057 6.075 3.325
8.429 7.411 3.325
3.371 3.371 0.000
3.371 6.743 2.216
0.000 0.000 0.000
6.743 3.371 2.216


No. 2
Na2TiF6 GGA-PBE relaxed; uncorrected energy = -5.59 eV per atom; space-group type = P-3m1 (164)
1.0
9.675 0.000 0.000
-4.837 8.378 0.000
0.000 0.000 4.689
Na Ti F
6 3 18
Cartesian
1.658 2.872 0.000
-3.179 5.506 0.000
6.358 0.000 0.000
3.179 5.506 0.000
-1.658 2.872 0.000
3.316 0.000 0.000
4.837 2.793 2.339
0.000 5.586 2.350
0.000 0.000 0.000
3.480 3.577 3.423
4.837 1.225 3.423
6.195 3.577 3.423
-1.357 4.802 1.266
0.000 7.153 1.266
1.357 4.802 1.266
6.189 2.013 1.261
4.837 4.353 1.261
3.486 2.013 1.261
-3.451 7.578 1.017
0.000 1.601 1.017
3.451 7.578 1.017
1.386 0.800 3.672
4.837 6.778 3.672
8.288 0.800 3.672
-1.351 6.366 3.428
0.000 4.025 3.428
1.351 6.366 3.428